[1]
AcHg2Au PBE-GGA optimized geometry; E_tot = -2.44 eV per atom; space-group type = No. 123; energy relative to the elements = -442.7 meV/atom
1.0
4.573 0.000 0.000
0.000 4.573 0.000
0.000 0.000 5.331
Ac Hg Au
1 2 1
direct
0.000 0.000 0.000
0.000 0.500 0.500
0.500 0.000 0.500
0.500 0.500 0.000

---

[2]
HoErTiTl PBE-GGA optimized geometry; E_tot = -4.85 eV per atom; space-group type = No. 216; energy relative to the elements = 2.2 meV/atom
1.0
0.000 3.708 3.708
3.708 0.000 3.708
3.708 3.708 0.000
Ho Er Ti Tl
1 1 1 1
direct
0.000 0.000 0.000
0.500 0.500 0.500
0.750 0.750 0.750
0.250 0.250 0.250

---

[3]
CaCuCl2 PBE-GGA optimized geometry; E_tot = -3.43 eV per atom; space-group type = No. 10; energy relative to the lowest polymorph listed for this composition = 97 meV/atom; uncorrected formation energy = -984.5 meV per atom
1.0
3.361 0.000 0.000
0.000 3.360 0.000
-0.121 0.000 10.352
Ca Cu Cl
1 1 2
direct
0.000 0.000 0.000
0.500 0.000 0.500
0.494 0.500 0.847
0.506 0.500 0.153

---

[4]
Mg4TaZn PBE-GGA optimized geometry; E_tot = -2.68 eV per atom; space-group type = No. 216; energy relative to the elements = 569.2 meV/atom
1.0
0.000 3.940 3.940
3.940 0.000 3.940
3.940 3.940 0.000
Mg Ta Zn
4 1 1
direct
0.124 0.124 0.124
0.124 0.124 0.627
0.124 0.627 0.124
0.627 0.124 0.124
0.750 0.750 0.750
0.500 0.500 0.500

---

[5]
Cu2Rh2Pb PBE-GGA optimized geometry; E_tot = -5.11 eV per atom; space-group type = No. 139; energy relative to the lowest polymorph listed for this composition = 34 meV/atom; energy relative to the elements = 210.8 meV/atom
1.0
-1.738 1.738 6.735
1.738 -1.738 6.735
1.738 1.738 -6.735
Cu Rh Pb
2 2 1
direct
0.250 0.750 0.500
0.750 0.250 0.500
0.107 0.107 0.000
0.893 0.893 0.000
0.500 0.500 0.000

---

[6]
TmCuAu2 PBE-GGA optimized geometry; E_tot = -4.32 eV per atom; space-group type = No. 225; energy relative to the elements = -540.3 meV/atom
1.0
0.000 3.358 3.358
3.358 0.000 3.358
3.358 3.358 0.000
Tm Cu Au
1 1 2
direct
0.000 0.000 0.000
0.500 0.500 0.500
0.250 0.250 0.250
0.750 0.750 0.750

---

[7]
Nd2SmY4Mg PBE-GGA optimized geometry; E_tot = -5.19 eV per atom; space-group type = No. 123; energy relative to the elements = 25.9 meV/atom
1.0
5.018 0.000 0.000
0.000 5.018 0.000
0.000 0.000 10.244
Nd Sm Y Mg
2 1 4 1
direct
0.000 0.000 0.000
0.500 0.500 0.500
0.000 0.000 0.500
0.000 0.500 0.247
0.000 0.500 0.753
0.500 0.000 0.247
0.500 0.000 0.753
0.500 0.500 0.000

---

[8]
AcPrSnO PBE-GGA optimized geometry; E_tot = -6.16 eV per atom; space-group type = No. 44; uncorrected formation energy = -1698.6 meV per atom
1.0
-1.929 2.025 7.206
1.929 -2.025 7.206
1.929 2.025 -7.206
Ac Pr Sn O
1 1 1 1
direct
0.000 0.000 0.000
0.304 0.304 0.000
0.660 0.660 0.000
0.402 0.902 0.500

---

[9]
HfRu4Pt2 PBE-GGA optimized geometry; E_tot = -7.17 eV per atom; space-group type = No. 139; energy relative to the elements = 1281.3 meV/atom
1.0
-2.357 2.357 6.379
2.357 -2.357 6.379
2.357 2.357 -6.379
Hf Ru Pt
1 4 2
direct
0.000 0.000 0.000
0.000 0.500 0.500
0.202 0.202 0.000
0.500 0.000 0.500
0.798 0.798 0.000
0.395 0.395 0.000
0.605 0.605 0.000

---

[10]
Ca2Sm5Y4 PBE-GGA optimized geometry; E_tot = -4.68 eV per atom; space-group type = No. 12; energy relative to the elements = 182.6 meV/atom
1.0
8.633 -3.379 0.000
8.633 3.379 0.000
-1.199 0.000 6.652
Ca Sm Y
2 5 4
direct
0.200 0.200 0.332
0.800 0.800 0.668
0.000 0.000 0.500
0.178 0.651 0.100
0.349 0.822 0.900
0.651 0.178 0.100
0.822 0.349 0.900
0.248 0.248 0.851
0.416 0.416 0.603
0.584 0.584 0.397
0.752 0.752 0.149

---

- E_tot of number 1 (AcHg2Au)?
  -2.44 eV per atom

---

What did the fifth record say?
Cu2Rh2Pb PBE-GGA optimized geometry; E_tot = -5.11 eV per atom; space-group type = No. 139; energy relative to the lowest polymorph listed for this composition = 34 meV/atom; energy relative to the elements = 210.8 meV/atom
1.0
-1.738 1.738 6.735
1.738 -1.738 6.735
1.738 1.738 -6.735
Cu Rh Pb
2 2 1
direct
0.250 0.750 0.500
0.750 0.250 0.500
0.107 0.107 0.000
0.893 0.893 0.000
0.500 0.500 0.000

---

- What is the E_tot in the ninth record?
  -7.17 eV per atom